A relaxed Tm2CdHg2 crystal, computed with PBE-GGA.

The structure in CIF format:
```
data_Tm2CdHg2
_chemical_formula_sum 'Tm4 Cd2 Hg4'
_space_group_name_H-M_alt 'P 1'
_space_group_IT_number 1
_space_group_name_Hall 'P 1'
_cell_length_a 3.873
_cell_length_b 8.010
_cell_length_c 8.010
_cell_angle_alpha 90.00
_cell_angle_beta 90.00
_cell_angle_gamma 90.00
loop_
_atom_site_label
_atom_site_type_symbol
_atom_site_fract_x
_atom_site_fract_y
_atom_site_fract_z
Tm1 Tm 0.500 0.167 0.667
Tm2 Tm 0.500 0.667 0.833
Tm3 Tm 0.500 0.833 0.333
Tm4 Tm 0.500 0.333 0.167
Cd1 Cd 0.000 0.000 0.000
Cd2 Cd 0.000 0.500 0.500
Hg1 Hg 0.000 0.367 0.867
Hg2 Hg 0.000 0.867 0.633
Hg3 Hg 0.000 0.633 0.133
Hg4 Hg 0.000 0.133 0.367
```

Properties
Its symmetry is P4/mbm, No. 127. The value obtained for the size of the total moment is 0.00 μB per atom. Its formation energy is -0.386 eV/atom.


A relaxed TmCd14Hg crystal, computed with PBE-GGA.

The structure in CIF format:
```
data_TmCd14Hg
_chemical_formula_sum 'Tm1 Cd14 Hg1'
_space_group_name_H-M_alt 'P 1'
_space_group_IT_number 1
_space_group_name_Hall 'P 1'
_cell_length_a 6.538
_cell_length_b 6.538
_cell_length_c 8.652
_cell_angle_alpha 90.00
_cell_angle_beta 90.00
_cell_angle_gamma 90.00
loop_
_atom_site_label
_atom_site_type_symbol
_atom_site_fract_x
_atom_site_fract_y
_atom_site_fract_z
Tm1 Tm 0.875 0.875 0.500
Cd1 Cd 0.875 0.875 0.000
Cd2 Cd 0.375 0.375 0.000
Cd3 Cd 0.875 0.375 0.500
Cd4 Cd 0.875 0.375 0.000
Cd5 Cd 0.375 0.875 0.500
Cd6 Cd 0.375 0.875 0.000
Cd7 Cd 0.624 0.126 0.246
Cd8 Cd 0.624 0.126 0.754
Cd9 Cd 0.126 0.624 0.246
Cd10 Cd 0.126 0.624 0.754
Cd11 Cd 0.624 0.624 0.246
Cd12 Cd 0.624 0.624 0.754
Cd13 Cd 0.126 0.126 0.246
Cd14 Cd 0.126 0.126 0.754
Hg1 Hg 0.375 0.375 0.500
```

Properties
Its symmetry is P4/mmm, No. 123. The value obtained for the size of the total moment is 0.00 μB per atom. Its formation energy is -0.035 eV/atom.


A relaxed TmCd2Hg6 crystal, computed with PBE-GGA.

The structure in CIF format:
```
data_TmCd2Hg6
_chemical_formula_sum 'Tm1 Cd2 Hg6'
_space_group_name_H-M_alt 'P 1'
_space_group_IT_number 1
_space_group_name_Hall 'P 1'
_cell_length_a 3.557
_cell_length_b 8.624
_cell_length_c 8.628
_cell_angle_alpha 119.99
_cell_angle_beta 90.00
_cell_angle_gamma 90.00
loop_
_atom_site_label
_atom_site_type_symbol
_atom_site_fract_x
_atom_site_fract_y
_atom_site_fract_z
Tm1 Tm 0.500 0.000 0.000
Cd1 Cd 0.000 0.333 0.666
Cd2 Cd 0.000 0.667 0.334
Hg1 Hg 0.500 0.626 0.000
Hg2 Hg 0.500 0.374 0.374
Hg3 Hg 0.500 0.000 0.626
Hg4 Hg 0.000 0.293 0.000
Hg5 Hg 0.000 0.708 0.708
Hg6 Hg 0.000 0.999 0.292
```

Properties
Its symmetry is Amm2, No. 38. The value obtained for the size of the total moment is 0.00 μB per atom. The excess energy over the best structure of this formula in the dataset is 28 meV/atom. Its formation energy is -0.084 eV/atom.


A relaxed Tm4Cd3Hg8 crystal, computed with PBE-GGA.

The structure in CIF format:
```
data_Tm4Cd3Hg8
_chemical_formula_sum 'Tm8 Cd6 Hg16'
_space_group_name_H-M_alt 'P 1'
_space_group_IT_number 1
_space_group_name_Hall 'P 1'
_cell_length_a 10.061
_cell_length_b 10.061
_cell_length_c 10.061
_cell_angle_alpha 60.00
_cell_angle_beta 60.00
_cell_angle_gamma 60.00
loop_
_atom_site_label
_atom_site_type_symbol
_atom_site_fract_x
_atom_site_fract_y
_atom_site_fract_z
Tm1 Tm 0.000 0.000 0.000
Tm2 Tm 0.500 0.500 0.000
Tm3 Tm 0.000 0.000 0.500
Tm4 Tm 0.500 0.000 0.000
Tm5 Tm 0.000 0.500 0.500
Tm6 Tm 0.500 0.000 0.500
Tm7 Tm 0.000 0.500 0.000
Tm8 Tm 0.500 0.500 0.500
Cd1 Cd 0.750 0.750 0.250
Cd2 Cd 0.250 0.250 0.750
Cd3 Cd 0.750 0.250 0.250
Cd4 Cd 0.250 0.750 0.750
Cd5 Cd 0.750 0.250 0.750
Cd6 Cd 0.250 0.750 0.250
Hg1 Hg 0.611 0.130 0.130
Hg2 Hg 0.389 0.870 0.870
Hg3 Hg 0.130 0.130 0.611
Hg4 Hg 0.130 0.130 0.130
Hg5 Hg 0.870 0.870 0.389
Hg6 Hg 0.870 0.870 0.870
Hg7 Hg 0.130 0.611 0.130
Hg8 Hg 0.870 0.389 0.870
Hg9 Hg 0.888 0.371 0.371
Hg10 Hg 0.112 0.629 0.629
Hg11 Hg 0.371 0.371 0.888
Hg12 Hg 0.371 0.371 0.371
Hg13 Hg 0.629 0.629 0.112
Hg14 Hg 0.629 0.629 0.629
Hg15 Hg 0.371 0.888 0.371
Hg16 Hg 0.629 0.112 0.629
```

Properties
Its symmetry is Pm-3m, No. 221. The value obtained for the size of the total moment is 0.00 μB per atom. Its formation energy is -0.293 eV/atom.


A relaxed TmCd12Hg7 crystal, computed with PBE-GGA.

The structure in CIF format:
```
data_TmCd12Hg7
_chemical_formula_sum 'Tm1 Cd12 Hg7'
_space_group_name_H-M_alt 'P 1'
_space_group_IT_number 1
_space_group_name_Hall 'P 1'
_cell_length_a 7.918
_cell_length_b 7.918
_cell_length_c 7.918
_cell_angle_alpha 98.62
_cell_angle_beta 98.62
_cell_angle_gamma 98.62
loop_
_atom_site_label
_atom_site_type_symbol
_atom_site_fract_x
_atom_site_fract_y
_atom_site_fract_z
Tm1 Tm 0.000 0.000 0.000
Cd1 Cd 0.000 0.272 0.728
Cd2 Cd 0.728 0.272 0.000
Cd3 Cd 0.602 0.169 0.602
Cd4 Cd 0.831 0.398 0.398
Cd5 Cd 0.272 0.000 0.728
Cd6 Cd 0.398 0.398 0.831
Cd7 Cd 0.602 0.602 0.169
Cd8 Cd 0.728 0.000 0.272
Cd9 Cd 0.169 0.602 0.602
Cd10 Cd 0.398 0.831 0.398
Cd11 Cd 0.272 0.728 0.000
Cd12 Cd 0.000 0.728 0.272
Hg1 Hg 0.861 0.599 0.862
Hg2 Hg 0.401 0.138 0.139
Hg3 Hg 0.138 0.139 0.401
Hg4 Hg 0.500 0.500 0.500
Hg5 Hg 0.862 0.861 0.599
Hg6 Hg 0.599 0.862 0.861
Hg7 Hg 0.139 0.401 0.138
```

Properties
Its symmetry is R-3m, No. 166. The value obtained for the size of the total moment is 0.00 μB per atom. The excess energy over the best structure of this formula in the dataset is 0 meV/atom. Its formation energy is -0.038 eV/atom.


A relaxed Tm3Cd12Hg crystal, computed with PBE-GGA.

The structure in CIF format:
```
data_Tm3Cd12Hg
_chemical_formula_sum 'Tm3 Cd12 Hg1'
_space_group_name_H-M_alt 'P 1'
_space_group_IT_number 1
_space_group_name_Hall 'P 1'
_cell_length_a 4.578
_cell_length_b 4.578
_cell_length_c 17.764
_cell_angle_alpha 90.00
_cell_angle_beta 90.00
_cell_angle_gamma 90.00
loop_
_atom_site_label
_atom_site_type_symbol
_atom_site_fract_x
_atom_site_fract_y
_atom_site_fract_z
Tm1 Tm 0.000 0.000 0.243
Tm2 Tm 0.000 0.000 0.500
Tm3 Tm 0.000 0.000 0.757
Cd1 Cd 0.500 0.500 0.000
Cd2 Cd 0.500 0.500 0.243
Cd3 Cd 0.500 0.500 0.500
Cd4 Cd 0.500 0.500 0.757
Cd5 Cd 0.500 0.000 0.119
Cd6 Cd 0.500 0.000 0.373
Cd7 Cd 0.500 0.000 0.627
Cd8 Cd 0.500 0.000 0.881
Cd9 Cd 0.000 0.500 0.119
Cd10 Cd 0.000 0.500 0.373
Cd11 Cd 0.000 0.500 0.627
Cd12 Cd 0.000 0.500 0.881
Hg1 Hg 0.000 0.000 0.000
```

Properties
Its symmetry is P4/mmm, No. 123. The value obtained for the size of the total moment is 0.00 μB per atom. Its formation energy is -0.163 eV/atom.


A relaxed Tm2Cd3Hg4 crystal, computed with PBE-GGA.

The structure in CIF format:
```
data_Tm2Cd3Hg4
_chemical_formula_sum 'Tm4 Cd6 Hg8'
_space_group_name_H-M_alt 'P 1'
_space_group_IT_number 1
_space_group_name_Hall 'P 1'
_cell_length_a 6.158
_cell_length_b 8.252
_cell_length_c 9.131
_cell_angle_alpha 90.00
_cell_angle_beta 109.71
_cell_angle_gamma 90.00
loop_
_atom_site_label
_atom_site_type_symbol
_atom_site_fract_x
_atom_site_fract_y
_atom_site_fract_z
Tm1 Tm 0.098 0.597 0.195
Tm2 Tm 0.902 0.403 0.805
Tm3 Tm 0.402 0.097 0.805
Tm4 Tm 0.598 0.903 0.195
Cd1 Cd 0.000 0.000 0.000
Cd2 Cd 0.500 0.500 0.000
Cd3 Cd 0.519 0.750 0.538
Cd4 Cd 0.981 0.250 0.462
Cd5 Cd 0.481 0.250 0.462
Cd6 Cd 0.019 0.750 0.538
Hg1 Hg 0.688 0.750 0.876
Hg2 Hg 0.812 0.250 0.124
Hg3 Hg 0.312 0.250 0.124
Hg4 Hg 0.188 0.750 0.876
Hg5 Hg 0.166 0.957 0.333
Hg6 Hg 0.834 0.043 0.667
Hg7 Hg 0.334 0.457 0.667
Hg8 Hg 0.666 0.543 0.333
```

Properties
Its symmetry is Cmce, No. 64. The value obtained for the size of the total moment is 0.00 μB per atom. The excess energy over the best structure of this formula in the dataset is 113 meV/atom. Its formation energy is -0.150 eV/atom.


A relaxed Tm3Cd2Hg6 crystal, computed with PBE-GGA.

The structure in CIF format:
```
data_Tm3Cd2Hg6
_chemical_formula_sum 'Tm3 Cd2 Hg6'
_space_group_name_H-M_alt 'P 1'
_space_group_IT_number 1
_space_group_name_Hall 'P 1'
_cell_length_a 4.192
_cell_length_b 4.192
_cell_length_c 16.522
_cell_angle_alpha 97.29
_cell_angle_beta 97.29
_cell_angle_gamma 90.00
loop_
_atom_site_label
_atom_site_type_symbol
_atom_site_fract_x
_atom_site_fract_y
_atom_site_fract_z
Tm1 Tm 0.000 0.000 0.000
Tm2 Tm 0.822 0.822 0.643
Tm3 Tm 0.178 0.178 0.357
Cd1 Cd 0.361 0.361 0.723
Cd2 Cd 0.639 0.639 0.277
Hg1 Hg 0.070 0.570 0.140
Hg2 Hg 0.570 0.070 0.140
Hg3 Hg 0.930 0.430 0.860
Hg4 Hg 0.430 0.930 0.860
Hg5 Hg 0.728 0.728 0.456
Hg6 Hg 0.272 0.272 0.544
```

Properties
Its symmetry is I4/mmm, No. 139. The value obtained for the size of the total moment is 0.00 μB per atom. Its formation energy is -0.131 eV/atom.